The following is a DFT calculation (GGA-PBEsol) of a relaxed BeTlRe2 crystal.

Summary:
Energy of formation   0.953 eV per atom
D(E_F)   4.01 states/eV/f.u.
E   -7.371 eV/atom

Cell: 3.7620 3.7620 5.0564 Å, 111.84 111.84 90.00°
Last column: nearest neighbours and their distance in Å.
Element x y z (fractional)
Re: 0.7500 0.2500 0.5000  4 Re 2.66, 4 Tl 2.86, 4 Be 2.86
Re: 0.2500 0.7500 0.5000  4 Re 2.66, 4 Tl 2.86, 4 Be 2.86
Tl: 0.5000 0.5000 0.0000  4 Be 2.66, 8 Re 2.86
Be: 0.0000 0.0000 0.0000  4 Tl 2.66, 8 Re 2.86


The following is a DFT calculation (GGA-PBEsol) of a relaxed BeTlRe crystal.

Summary:
Energy of formation   0.617 eV per atom
D(E_F)   1.11 states/eV/f.u.
E   -6.037 eV/atom

Cell: 3.0968 3.0968 5.3066 Å, 106.96 106.96 90.00°
Last column: nearest neighbours and their distance in Å.
Element x y z (fractional)
Re: 0.6251 0.6251 0.2502  4 Be 2.32
Tl: 0.3302 0.3302 0.6604  5 Be 2.76-3.02, 5 Re 2.85-2.95
Be: 0.0447 0.0447 0.0894  4 Re 2.32